Density functional theory data (GGA-PBE) for a relaxed structure of CaNdCdIn.

Unit cell a=7.7094 b=7.7094 c=7.7094 alpha=90.00 beta=90.00 gamma=90.00
Closest atoms and distances in Å follow each position.
Sites, in units of the cell vectors:
Ca 0.0000 0.0000 0.0000  4 Cd 3.34, 4 In 3.34
Ca 0.0000 0.5000 0.5000  4 Cd 3.34, 4 In 3.34
Ca 0.5000 0.0000 0.5000  4 Cd 3.34, 4 In 3.34
Ca 0.5000 0.5000 0.0000  4 Cd 3.34, 4 In 3.34
Nd 0.0000 0.0000 0.5000  4 Cd 3.34, 4 In 3.34
Nd 0.0000 0.5000 0.0000  4 Cd 3.34, 4 In 3.34
Nd 0.5000 0.0000 0.0000  4 Cd 3.34, 4 In 3.34
Nd 0.5000 0.5000 0.5000  4 Cd 3.34, 4 In 3.34
Cd 0.2500 0.2500 0.2500  4 Nd 3.34, 4 Ca 3.34
Cd 0.2500 0.7500 0.7500  4 Nd 3.34, 4 Ca 3.34
Cd 0.7500 0.2500 0.7500  4 Nd 3.34, 4 Ca 3.34
Cd 0.7500 0.7500 0.2500  4 Nd 3.34, 4 Ca 3.34
In 0.2500 0.2500 0.7500  4 Nd 3.34, 4 Ca 3.34
In 0.2500 0.7500 0.2500  4 Nd 3.34, 4 Ca 3.34
In 0.7500 0.2500 0.2500  4 Nd 3.34, 4 Ca 3.34
In 0.7500 0.7500 0.7500  4 Ca 3.34, 4 Nd 3.34

Computed properties:
crystal system	cubic
magnetic moment	0.0	μB per formula unit
ρ	5.966	g/cm3
energy relative to the elements	-0.45	eV/atom
space group	F-43m, No. 216